Compound: SrGaPd2
Source: Alexandria
Functional: PBE
Structure: relaxed

a = 5.0984 Å, b = 5.0984 Å, c = 16.6146 Å
α = 90.00°, β = 90.00°, γ = 90.00°
Space group I-42d (No. 122)
Asymmetric unit:
Sr 0.0000 0.0000 0.0000 x4
Ga 0.0000 0.0000 0.5000 x4
Pd 0.0488 0.2500 0.6250 x8

N(E_F): 4.91 states/eV/cell
ΔH_f (0 K): -446 meV/atom
M_tot: 0.0 μB/cell
crystal system: tetragonal

Compound: Mg2Zr3
Source: Alexandria
Functional: PBE
Structure: relaxed

a = 16.1642 Å, b = 3.0827 Å, c = 10.5576 Å
α = 90.00°, β = 118.38°, γ = 90.00°
Space group C2/m (No. 12)
Asymmetric unit:
Mg 0.0753 0.0000 0.4511 x4
Mg 0.1171 0.5000 0.7445 x4
Zr 0.0448 0.5000 0.1614 x4
Zr 0.1640 0.0000 0.0376 x4
Zr 0.2303 0.0000 0.3621 x4

N(E_F): 21.87 states/eV/cell
ΔH_f (0 K): 81 meV/atom
M_tot: 0.0 μB/cell
crystal system: monoclinic
ΔE to the lowest computed polymorph: 0.0207 eV per atom

Compound: Zn3Pd6Au
Source: Alexandria
Functional: PBE
Structure: relaxed

a = 9.2706 Å, b = 12.5211 Å, c = 5.5436 Å
α = 90.00°, β = 90.00°, γ = 90.00°
Space group Cmc2_1 (No. 36)
Asymmetric unit:
Zn 0.0000 0.0513 0.0000 x4
Zn 0.1402 0.3700 0.0945 x8
Pd 0.0000 0.2063 0.2907 x4
Pd 0.0000 0.4488 0.5000 x4
Pd 0.2200 0.0198 0.2917 x8
Pd 0.2439 0.3085 0.5029 x8
Au 0.0000 0.2465 0.7701 x4

N(E_F): 9.67 states/eV/cell
ΔH_f (0 K): -247 meV/atom
M_tot: 0.0 μB/cell
crystal system: orthorhombic
ΔE to the lowest computed polymorph: 0.1536 eV per atom

Compound: Tm5Sc3H12
Source: Alexandria
Functional: PBE
Structure: relaxed

a = 12.5567 Å, b = 12.5567 Å, c = 12.5567 Å
α = 90.00°, β = 90.00°, γ = 90.00°
Space group Ia-3d (No. 230)
Asymmetric unit:
Tm 0.0000 0.0000 0.0000 x16
Tm 0.0000 0.2500 0.3750 x24
Sc 0.0000 0.2500 0.1250 x24
H 0.0040 0.0627 0.1597 x96

N(E_F): 67.27 states/eV/cell
M_tot: 0.0 μB/cell
crystal system: cubic
raw total energy: -722.621 eV per cell

Compound: CaDyZnHg
Source: Alexandria
Functional: PBE
Structure: relaxed

a = 7.3656 Å, b = 7.3656 Å, c = 7.3656 Å
α = 90.00°, β = 90.00°, γ = 90.00°
Space group F-43m (No. 216)
Asymmetric unit:
Ca 0.0000 0.0000 0.0000 x4
Dy 0.0000 0.0000 0.5000 x4
Zn 0.2500 0.2500 0.7500 x4
Hg 0.2500 0.2500 0.2500 x4

N(E_F): 15.44 states/eV/cell
ΔH_f (0 K): -402 meV/atom
M_tot: 0.0 μB/cell
crystal system: cubic
ΔE to the lowest computed polymorph: 0.0083 eV per atom

Compound: Tm2SiAg
Source: Alexandria
Functional: PBE
Structure: relaxed

a = 4.2353 Å, b = 4.2353 Å, c = 19.4512 Å
α = 90.00°, β = 90.00°, γ = 120.00°
Space group R-3m (No. 166, hexagonal axes)
Asymmetric unit:
Tm 0.0000 0.0000 0.2409 x6
Si 0.0000 0.0000 0.5000 x3
Ag 0.0000 0.0000 0.0000 x3

N(E_F): 8.52 states/eV/cell
M_tot: 0.0 μB/cell
crystal system: trigonal
ΔE_f (raw): -7.571 kcal/mol of atoms

Compound: AgSbTe2
Source: Alexandria
Functional: PBE
Structure: relaxed

a = 4.3745 Å, b = 4.3745 Å, c = 20.8868 Å
α = 90.00°, β = 90.00°, γ = 120.00°
Space group R-3m (No. 166, hexagonal axes)
Asymmetric unit:
Ag 0.0000 0.0000 0.0000 x3
Sb 0.0000 0.0000 0.5000 x3
Te 0.0000 0.0000 0.2537 x6

N(E_F): 1.35 states/eV/cell
M_tot: 0.0 μB/cell
crystal system: trigonal
ΔE_f (raw): -1.966 kcal/mol of atoms

Compound: LaTlCu2
Source: Alexandria
Functional: PBE
Structure: relaxed

a = 7.5625 Å, b = 4.3737 Å, c = 6.0518 Å
α = 90.00°, β = 114.55°, γ = 90.00°
Space group Cm (No. 8)
Asymmetric unit:
La 0.0000 0.0000 0.0000 x2
Tl 0.2989 0.5000 0.3970 x2
Cu 0.0463 0.5000 0.6391 x2
Cu 0.2158 0.0000 0.6473 x2

N(E_F): 7.17 states/eV/cell
ΔH_f (0 K): -105 meV/atom
M_tot: 0.0 μB/cell
crystal system: monoclinic

Compound: CoRu
Source: Alexandria
Functional: PBE
Structure: relaxed

a = 5.9176 Å, b = 5.9176 Å, c = 5.9176 Å
α = 90.00°, β = 90.00°, γ = 90.00°
Space group Fd-3m (No. 227, origin choice 2)
Asymmetric unit:
Co 0.1250 0.1250 0.1250 x8
Ru 0.1250 0.1250 0.6250 x8

N(E_F): 25.27 states/eV/cell
ΔH_f (0 K): 376 meV/atom
M_tot: 18.8 μB/cell
crystal system: cubic

Compound: CaPt2O4
Source: Alexandria
Functional: PBE
Structure: relaxed

a = 7.5061 Å, b = 9.3762 Å, c = 7.8282 Å
α = 90.00°, β = 118.45°, γ = 90.00°
Space group C2 (No. 5)
Asymmetric unit:
Ca 0.0000 0.0000 0.0000 x2
Ca 0.0000 0.2493 0.5000 x2
Pt 0.0030 0.6232 0.2499 x4
Pt 0.2468 0.8732 0.7499 x4
O 0.0101 0.8323 0.7909 x4
O 0.0173 0.4139 0.2913 x4
O 0.2194 0.0824 0.7094 x4
O 0.2261 0.1638 0.2089 x4

N(E_F): 16.85 states/eV/cell
M_tot: 1.7 μB/cell
crystal system: monoclinic
ΔE_f (raw): -24.896 kcal/mol of atoms
ΔE to the lowest computed polymorph: 0.1034 eV per atom

Compound: RbTlGe
Source: Alexandria
Functional: PBE
Structure: relaxed

a = 15.6858 Å, b = 4.1289 Å, c = 7.9160 Å
α = 90.00°, β = 119.86°, γ = 90.00°
Space group Cm (No. 8)
Asymmetric unit:
Rb 0.0000 0.0000 0.0000 x2
Rb 0.1678 0.5000 0.6540 x2
Tl 0.3137 0.0000 0.1040 x2
Tl 0.4422 0.5000 0.4738 x2
Ge 0.2175 0.5000 0.2416 x2
Ge 0.2989 0.0000 0.4795 x2

N(E_F): 5.27 states/eV/cell
ΔH_f (0 K): -52 meV/atom
M_tot: 0.0 μB/cell
crystal system: monoclinic

Compound: ZnCrAsBr2
Source: Alexandria
Functional: PBE
Structure: relaxed

a = 5.0736 Å, b = 5.0736 Å, c = 4.9472 Å
α = 90.00°, β = 90.00°, γ = 90.00°
Space group P4/mmm (No. 123)
Asymmetric unit:
Zn 0.0000 0.0000 0.0000 x1
Cr 0.5000 0.5000 0.5000 x1
As 0.5000 0.5000 0.0000 x1
Br 0.0000 0.5000 0.5000 x2

N(E_F): 2.58 states/eV/cell
M_tot: 2.5 μB/cell
crystal system: tetragonal
ΔE_f (raw): 3.025 kcal/mol of atoms
ΔE to the lowest computed polymorph: 0.0000 eV per atom

- Look up the M_tot of the ninth one.
  18.8 μB/cell

- Which of these has the highest M_tot?
  CoRu